Compound: Nd2Ho4Mg
Source: Alexandria
Functional: GGA-PBE
Structure: relaxed

Cell lengths 6.7089, 6.7089, 6.7089 Å; angles 104.35, 104.35, 120.30 degrees
Atoms (fractional coordinates):
Nd  0.2500  0.7500  0.5000
Nd  0.7500  0.2500  0.5000
Ho  0.1286  0.7240  0.0000
Ho  0.2760  0.2760  0.4046
Ho  0.7240  0.1286  0.0000
Ho  0.8714  0.8714  0.5954
Mg  0.5000  0.5000  0.0000

Calculated values
Space-group type   I-42m (121)
Relative energy among the computed polymorphs   0.1968 eV/atom

=====

Compound: Nd2HoMg
Source: Alexandria
Functional: GGA-PBE
Structure: relaxed

Cell lengths 3.7241, 3.7241, 9.0516 Å; angles 90.00, 90.00, 90.00 degrees
Atoms (fractional coordinates):
Nd  0.0000  0.0000  0.2311
Nd  0.0000  0.0000  0.7689
Ho  0.5000  0.5000  0.5000
Mg  0.5000  0.5000  0.0000

Calculated values
Space-group type   P4/mmm (123)
Relative energy among the computed polymorphs   0.0000 eV/atom

=====

Compound: NdHo2Mg4
Source: Alexandria
Functional: GGA-PBE
Structure: relaxed

Cell lengths 8.2844, 8.2844, 8.2844 Å; angles 142.19, 142.19, 54.54 degrees
Atoms (fractional coordinates):
Nd  0.0000  0.0000  0.0000
Ho  0.2501  0.2501  0.0000
Ho  0.7499  0.7499  0.0000
Mg  0.1204  0.6204  0.5000
Mg  0.3796  0.8796  0.5000
Mg  0.6204  0.1204  0.5000
Mg  0.8796  0.3796  0.5000

Calculated values
Space-group type   I4/mmm (139)
Relative energy among the computed polymorphs   0.0000 eV/atom

=====

Compound: Nd4Ho5Mg2
Source: Alexandria
Functional: GGA-PBE
Structure: relaxed

Cell lengths 3.6303, 8.8250, 11.5169 Å; angles 79.14, 81.06, 78.15 degrees
Atoms (fractional coordinates):
Nd  0.0839  0.0984  0.2327
Nd  0.2611  0.2591  0.7179
Nd  0.7389  0.7409  0.2821
Nd  0.9161  0.9016  0.7673
Ho  0.1476  0.6426  0.5629
Ho  0.4409  0.4508  0.1639
Ho  0.5000  0.0000  0.5000
Ho  0.5591  0.5492  0.8361
Ho  0.8524  0.3574  0.4371
Mg  0.3213  0.8348  0.0243
Mg  0.6787  0.1652  0.9757

Calculated values
Space-group type   P-1 (2)

=====

Compound: NdHo2Mg3
Source: Alexandria
Functional: GGA-PBE
Structure: relaxed

Cell lengths 3.8033, 3.8033, 11.4751 Å; angles 90.00, 90.00, 90.00 degrees
Atoms (fractional coordinates):
Nd  0.0000  0.0000  0.0000
Ho  0.0000  0.0000  0.3379
Ho  0.0000  0.0000  0.6621
Mg  0.5000  0.5000  0.1757
Mg  0.5000  0.5000  0.5000
Mg  0.5000  0.5000  0.8243

Calculated values
Space-group type   P4/mmm (123)

=====

Compound: Nd6Ho2Mg
Source: Alexandria
Functional: GGA-PBE
Structure: relaxed

Cell lengths 11.6215, 11.6215, 11.6215 Å; angles 149.31, 131.72, 58.31 degrees
Atoms (fractional coordinates):
Nd  0.0043  0.4280  0.7738
Nd  0.0805  0.0805  0.0000
Nd  0.1543  0.9280  0.4237
Nd  0.3457  0.7695  0.7738
Nd  0.4195  0.4195  0.0000
Nd  0.4957  0.2695  0.4237
Nd  0.5043  0.7305  0.5763
Nd  0.5805  0.5805  0.0000
Nd  0.6543  0.2305  0.2262
Nd  0.8457  0.0720  0.5763
Nd  0.9195  0.9195  0.0000
Nd  0.9957  0.5720  0.2262
Ho  0.1704  0.4474  0.6178
Ho  0.3296  0.9474  0.2770
Ho  0.6704  0.0526  0.7230
Ho  0.8296  0.5526  0.3822
Mg  0.2500  0.2500  0.0000
Mg  0.7500  0.7500  0.0000

Calculated values
Space-group type   Ibam (72)
Relative energy among the computed polymorphs   0.0384 eV/atom

=====

Compound: Nd7HoMg2
Source: Alexandria
Functional: GGA-PBE
Structure: relaxed

Cell lengths 9.4863, 9.4863, 5.3511 Å; angles 90.00, 90.00, 124.08 degrees
Atoms (fractional coordinates):
Nd  0.0000  0.0000  0.0000
Nd  0.2020  0.4299  0.0000
Nd  0.2879  0.7121  0.5000
Nd  0.4299  0.2020  0.0000
Nd  0.5701  0.7980  0.0000
Nd  0.7121  0.2879  0.5000
Nd  0.7980  0.5701  0.0000
Ho  0.5000  0.5000  0.5000
Mg  0.2015  0.7985  0.0000
Mg  0.7985  0.2015  0.0000

Calculated values
Space-group type   Cmmm (65)

=====

Compound: Nd3HoMg8
Source: Alexandria
Functional: GGA-PBE
Structure: relaxed

Cell lengths 10.5510, 10.5510, 10.5510 Å; angles 33.69, 33.69, 33.69 degrees
Atoms (fractional coordinates):
Nd  0.0000  0.0000  0.0000
Nd  0.1253  0.1253  0.1253
Nd  0.6242  0.6242  0.6242
Ho  0.4998  0.4998  0.4998
Mg  0.0621  0.0621  0.5610
Mg  0.0621  0.5610  0.0621
Mg  0.0642  0.5625  0.5625
Mg  0.3124  0.3124  0.3124
Mg  0.5610  0.0621  0.0621
Mg  0.5625  0.0642  0.5625
Mg  0.5625  0.5625  0.0642
Mg  0.8122  0.8122  0.8122

Calculated values
Space-group type   R3m (160)

=====

no.,formation enthalpy at 0 K (eV/atom)
1,0.319
2,-0.030
3,0.140
4,0.042
5,-0.083
6,0.061
7,0.517
8,-0.094